1.
# PrNpPt

Crystalline PrNpPt at its relaxed geometry (PBE, OQMD).

The structure in CIF format:
```
data_PrNpPt
_chemical_formula_sum 'Pr4 Np4 Pt4'
_cell_length_a 7.0201
_cell_length_b 7.0201
_cell_length_c 7.0201
_cell_angle_alpha 90.00
_cell_angle_beta 90.00
_cell_angle_gamma 90.00
_symmetry_space_group_name_H-M 'F -4 3 m'
_symmetry_Int_Tables_number 216
_symmetry_space_group_name_Hall 'F -4 2 3'
loop_
_atom_site_label
_atom_site_type_symbol
_atom_site_fract_x
_atom_site_fract_y
_atom_site_fract_z
Pr1 Pr 0.0000 0.0000 0.0000
Np1 Np 0.0000 0.0000 0.5000
Pt1 Pt 0.2500 0.2500 0.7500
```

Calculated values
Formation energy from the elements   -0.251 eV per atom

---

2.
# Dy3YPd4

Crystalline Dy3YPd4 at its relaxed geometry (PBE, OQMD).

The structure in CIF format:
```
data_Dy3YPd4
_chemical_formula_sum 'Dy3 Y1 Pd4'
_cell_length_a 5.5917
_cell_length_b 4.5633
_cell_length_c 6.9451
_cell_angle_alpha 90.00
_cell_angle_beta 90.09
_cell_angle_gamma 90.00
_symmetry_space_group_name_H-M 'P 1 m 1'
_symmetry_Int_Tables_number 6
_symmetry_space_group_name_Hall 'P -2y'
loop_
_atom_site_label
_atom_site_type_symbol
_atom_site_fract_x
_atom_site_fract_y
_atom_site_fract_z
Dy1 Dy 0.0000 0.0000 0.0000
Dy2 Dy 0.2136 0.0000 0.5003
Dy3 Dy 0.4999 0.5000 0.1360
Y1 Y 0.7132 0.5000 0.6355
Pd1 Pd 0.0122 0.5000 0.2743
Pd2 Pd 0.2028 0.5000 0.7772
Pd3 Pd 0.5100 0.0000 0.8625
Pd4 Pd 0.7026 0.0000 0.3575
```

Calculated values
Formation energy from the elements   -0.927 eV per atom

---

3.
# SiPW4N2

Crystalline SiPW4N2 at its relaxed geometry (PBE, OQMD).

The structure in CIF format:
```
data_SiPW4N2
_chemical_formula_sum 'Si1 P1 W4 N2'
_cell_length_a 2.9496
_cell_length_b 2.9496
_cell_length_c 13.1872
_cell_angle_alpha 90.00
_cell_angle_beta 90.00
_cell_angle_gamma 120.00
_symmetry_space_group_name_H-M 'P -6 m 2'
_symmetry_Int_Tables_number 187
_symmetry_space_group_name_Hall 'P -6 2'
loop_
_atom_site_label
_atom_site_type_symbol
_atom_site_fract_x
_atom_site_fract_y
_atom_site_fract_z
Si1 Si 0.0000 0.0000 0.0000
P1 P 0.6667 0.3333 0.5000
W1 W 0.0000 0.0000 0.3614
W2 W 0.6667 0.3333 0.1473
N1 N 0.3333 0.6667 0.2539
```

Calculated values
Total DFT energy (no corrections)   -78.34 eV per formula unit

---

4.
# HgCN2

Crystalline HgCN2 at its relaxed geometry (PBE, OQMD).

The structure in CIF format:
```
data_HgCN2
_chemical_formula_sum 'Hg8 C8 N16'
_cell_length_a 6.5210
_cell_length_b 6.8886
_cell_length_c 10.5931
_cell_angle_alpha 90.00
_cell_angle_beta 90.00
_cell_angle_gamma 90.00
_symmetry_space_group_name_H-M 'P b c a'
_symmetry_Int_Tables_number 61
_symmetry_space_group_name_Hall '-P 2ac 2ab'
loop_
_atom_site_label
_atom_site_type_symbol
_atom_site_fract_x
_atom_site_fract_y
_atom_site_fract_z
Hg1 Hg 0.1526 0.2014 0.1267
C1 C 0.1673 0.0958 0.3851
N1 N 0.0719 0.0485 0.2894
N2 N 0.2317 0.6251 0.4821
```

Calculated values
Total DFT energy (no corrections)   -24.28 eV per formula unit

---

5.
# CsNdPbS3

Crystalline CsNdPbS3 at its relaxed geometry (PBE, OQMD).

The structure in CIF format:
```
data_CsNdPbS3
_chemical_formula_sum 'Cs4 Nd4 Pb4 S12'
_cell_length_a 16.1135
_cell_length_b 4.2061
_cell_length_c 12.5382
_cell_angle_alpha 90.00
_cell_angle_beta 90.00
_cell_angle_gamma 90.00
_symmetry_space_group_name_H-M 'P n m a'
_symmetry_Int_Tables_number 62
_symmetry_space_group_name_Hall '-P 2ac 2n'
loop_
_atom_site_label
_atom_site_type_symbol
_atom_site_fract_x
_atom_site_fract_y
_atom_site_fract_z
Cs1 Cs 0.2370 0.2500 0.0971
Nd1 Nd 0.0025 0.2500 0.3580
Pb1 Pb 0.0423 0.2500 0.8981
S1 S 0.0840 0.7500 0.2369
S2 S 0.0914 0.2500 0.5486
S3 S 0.1242 0.7500 0.8103
```

Calculated values
Total DFT energy (no corrections)   -29.76 eV per formula unit

---

6.
# Er5Ga2Sb

Crystalline Er5Ga2Sb at its relaxed geometry (PBE, OQMD).

The structure in CIF format:
```
data_Er5Ga2Sb
_chemical_formula_sum 'Er20 Ga8 Sb4'
_cell_length_a 8.0449
_cell_length_b 8.0449
_cell_length_c 12.6452
_cell_angle_alpha 90.00
_cell_angle_beta 90.00
_cell_angle_gamma 90.00
_symmetry_space_group_name_H-M 'I 4/m c m'
_symmetry_Int_Tables_number 140
_symmetry_space_group_name_Hall '-I 4 2c'
loop_
_atom_site_label
_atom_site_type_symbol
_atom_site_fract_x
_atom_site_fract_y
_atom_site_fract_z
Er1 Er 0.0000 0.0000 0.0000
Er2 Er 0.1537 0.3463 0.1433
Ga1 Ga 0.1473 0.3527 0.5000
Sb1 Sb 0.0000 0.0000 0.2500
```

Calculated values
Total DFT energy (no corrections)   -38.11 eV per formula unit